#w
Material: LiB2Pt2
Method: DFT, GGA-PBE
State: relaxed

**Symmetry**: I4/mmm, No. 139

Cell and atoms, written as CIF:
```
data_LiB2Pt2
_chemical_formula_sum 'Li1 B2 Pt2'
_cell_length_a 3.199
_cell_length_b 3.199
_cell_length_c 6.144
_cell_angle_alpha 74.91
_cell_angle_beta 74.91
_cell_angle_gamma 90.00
_symmetry_space_group_name_H-M 'P 1'
_symmetry_Int_Tables_number 1
_symmetry_space_group_name_Hall 'P 1'
loop_
_atom_site_label
_atom_site_type_symbol
_atom_site_fract_x
_atom_site_fract_y
_atom_site_fract_z
B1 B 0.750 0.250 0.500
B2 B 0.250 0.750 0.500
Pt1 Pt 0.377 0.377 0.247
Pt2 Pt 0.623 0.623 0.753
Li1 Li 0.000 0.000 0.000
```



#x
Material: LiB2Pt2
Method: DFT, GGA-PBE
State: relaxed

**Symmetry**: P4/mbm, No. 127

Cell and atoms, written as CIF:
```
data_LiB2Pt2
_chemical_formula_sum 'Li2 B4 Pt4'
_cell_length_a 6.349
_cell_length_b 6.349
_cell_length_c 2.782
_cell_angle_alpha 90.00
_cell_angle_beta 90.00
_cell_angle_gamma 90.00
_symmetry_space_group_name_H-M 'P 1'
_symmetry_Int_Tables_number 1
_symmetry_space_group_name_Hall 'P 1'
loop_
_atom_site_label
_atom_site_type_symbol
_atom_site_fract_x
_atom_site_fract_y
_atom_site_fract_z
B1 B 0.408 0.908 0.000
B2 B 0.908 0.592 0.000
B3 B 0.592 0.092 0.000
B4 B 0.092 0.408 0.000
Pt1 Pt 0.225 0.725 0.500
Pt2 Pt 0.725 0.775 0.500
Pt3 Pt 0.775 0.275 0.500
Pt4 Pt 0.275 0.225 0.500
Li1 Li 0.000 0.000 0.000
Li2 Li 0.500 0.500 0.000
```



#x is favored, and the nearest alternative lies 21 meV per atom above it.



#w
Material: RbLi3B
Method: DFT, GGA-PBE
State: relaxed

**Symmetry**: Pm-3m, No. 221

Cell and atoms, written as CIF:
```
data_RbLi3B
_chemical_formula_sum 'Rb1 Li3 B1'
_cell_length_a 5.413
_cell_length_b 5.413
_cell_length_c 5.413
_cell_angle_alpha 90.00
_cell_angle_beta 90.00
_cell_angle_gamma 90.00
_symmetry_space_group_name_H-M 'P 1'
_symmetry_Int_Tables_number 1
_symmetry_space_group_name_Hall 'P 1'
loop_
_atom_site_label
_atom_site_type_symbol
_atom_site_fract_x
_atom_site_fract_y
_atom_site_fract_z
B1 B 0.500 0.500 0.500
Rb1 Rb 0.000 0.000 0.000
Li1 Li 0.000 0.500 0.000
Li2 Li 0.000 0.000 0.500
Li3 Li 0.500 0.000 0.000
```



#x
Material: RbLi3B
Method: DFT, GGA-PBE
State: relaxed

**Symmetry**: Pm-3m, No. 221

Cell and atoms, written as CIF:
```
data_RbLi3B
_chemical_formula_sum 'Rb1 Li3 B1'
_cell_length_a 4.774
_cell_length_b 4.774
_cell_length_c 4.774
_cell_angle_alpha 90.00
_cell_angle_beta 90.00
_cell_angle_gamma 90.00
_symmetry_space_group_name_H-M 'P 1'
_symmetry_Int_Tables_number 1
_symmetry_space_group_name_Hall 'P 1'
loop_
_atom_site_label
_atom_site_type_symbol
_atom_site_fract_x
_atom_site_fract_y
_atom_site_fract_z
B1 B 0.000 0.000 0.000
Rb1 Rb 0.500 0.500 0.500
Li1 Li 0.000 0.500 0.000
Li2 Li 0.000 0.000 0.500
Li3 Li 0.500 0.000 0.000
```



#x is favored, and the nearest alternative lies 1236 meV per atom above it.



#w
Material: Li3ReB
Method: DFT, GGA-PBE
State: relaxed

**Symmetry**: Pm-3m, No. 221

Cell and atoms, written as CIF:
```
data_Li3ReB
_chemical_formula_sum 'Li3 Re1 B1'
_cell_length_a 3.908
_cell_length_b 3.908
_cell_length_c 3.908
_cell_angle_alpha 90.00
_cell_angle_beta 90.00
_cell_angle_gamma 90.00
_symmetry_space_group_name_H-M 'P 1'
_symmetry_Int_Tables_number 1
_symmetry_space_group_name_Hall 'P 1'
loop_
_atom_site_label
_atom_site_type_symbol
_atom_site_fract_x
_atom_site_fract_y
_atom_site_fract_z
Re1 Re 0.500 0.500 0.500
B1 B 0.000 0.000 0.000
Li1 Li 0.000 0.500 0.000
Li2 Li 0.000 0.000 0.500
Li3 Li 0.500 0.000 0.000
```



#x
Material: Li3ReB
Method: DFT, GGA-PBE
State: relaxed

**Symmetry**: Pm-3m, No. 221

Cell and atoms, written as CIF:
```
data_Li3ReB
_chemical_formula_sum 'Li3 Re1 B1'
_cell_length_a 4.843
_cell_length_b 4.843
_cell_length_c 4.843
_cell_angle_alpha 90.00
_cell_angle_beta 90.00
_cell_angle_gamma 90.00
_symmetry_space_group_name_H-M 'P 1'
_symmetry_Int_Tables_number 1
_symmetry_space_group_name_Hall 'P 1'
loop_
_atom_site_label
_atom_site_type_symbol
_atom_site_fract_x
_atom_site_fract_y
_atom_site_fract_z
Re1 Re 0.000 0.000 0.000
B1 B 0.500 0.500 0.500
Li1 Li 0.000 0.500 0.000
Li2 Li 0.000 0.000 0.500
Li3 Li 0.500 0.000 0.000
```



#w is favored, and the nearest alternative lies 927 meV per atom above it.



#w
Material: LiReB3
Method: DFT, GGA-PBE
State: relaxed

**Symmetry**: Pm-3m, No. 221

Cell and atoms, written as CIF:
```
data_LiReB3
_chemical_formula_sum 'Li1 Re1 B3'
_cell_length_a 4.125
_cell_length_b 4.125
_cell_length_c 4.125
_cell_angle_alpha 90.00
_cell_angle_beta 90.00
_cell_angle_gamma 90.00
_symmetry_space_group_name_H-M 'P 1'
_symmetry_Int_Tables_number 1
_symmetry_space_group_name_Hall 'P 1'
loop_
_atom_site_label
_atom_site_type_symbol
_atom_site_fract_x
_atom_site_fract_y
_atom_site_fract_z
Re1 Re 0.000 0.000 0.000
B1 B 0.000 0.500 0.000
B2 B 0.000 0.000 0.500
B3 B 0.500 0.000 0.000
Li1 Li 0.500 0.500 0.500
```



#x
Material: LiReB3
Method: DFT, GGA-PBE
State: relaxed

**Symmetry**: Pm-3m, No. 221

Cell and atoms, written as CIF:
```
data_LiReB3
_chemical_formula_sum 'Li1 Re1 B3'
_cell_length_a 3.522
_cell_length_b 3.522
_cell_length_c 3.522
_cell_angle_alpha 90.00
_cell_angle_beta 90.00
_cell_angle_gamma 90.00
_symmetry_space_group_name_H-M 'P 1'
_symmetry_Int_Tables_number 1
_symmetry_space_group_name_Hall 'P 1'
loop_
_atom_site_label
_atom_site_type_symbol
_atom_site_fract_x
_atom_site_fract_y
_atom_site_fract_z
Re1 Re 0.500 0.500 0.500
B1 B 0.000 0.500 0.000
B2 B 0.000 0.000 0.500
B3 B 0.500 0.000 0.000
Li1 Li 0.000 0.000 0.000
```



#w is favored, and the nearest alternative lies 1171 meV per atom above it.



#w
Material: LiReB2
Method: DFT, GGA-PBE
State: relaxed

**Symmetry**: I-42d, No. 122

Cell and atoms, written as CIF:
```
data_LiReB2
_chemical_formula_sum 'Li2 Re2 B4'
_cell_length_a 5.451
_cell_length_b 5.451
_cell_length_c 6.114
_cell_angle_alpha 63.53
_cell_angle_beta 63.53
_cell_angle_gamma 90.00
_symmetry_space_group_name_H-M 'P 1'
_symmetry_Int_Tables_number 1
_symmetry_space_group_name_Hall 'P 1'
loop_
_atom_site_label
_atom_site_type_symbol
_atom_site_fract_x
_atom_site_fract_y
_atom_site_fract_z
Re1 Re 0.000 0.000 0.000
Re2 Re 0.750 0.250 0.500
B1 B 0.722 0.125 0.250
B2 B 0.028 0.625 0.250
B3 B 0.375 0.278 0.750
B4 B 0.875 0.972 0.750
Li1 Li 0.500 0.500 0.000
Li2 Li 0.250 0.750 0.500
```



#x
Material: LiReB2
Method: DFT, GGA-PBE
State: relaxed

**Symmetry**: Fm-3m, No. 225

Cell and atoms, written as CIF:
```
data_LiReB2
_chemical_formula_sum 'Li1 Re1 B2'
_cell_length_a 3.752
_cell_length_b 3.752
_cell_length_c 3.752
_cell_angle_alpha 60.00
_cell_angle_beta 60.00
_cell_angle_gamma 60.00
_symmetry_space_group_name_H-M 'P 1'
_symmetry_Int_Tables_number 1
_symmetry_space_group_name_Hall 'P 1'
loop_
_atom_site_label
_atom_site_type_symbol
_atom_site_fract_x
_atom_site_fract_y
_atom_site_fract_z
Re1 Re 0.500 0.500 0.500
B1 B 0.250 0.250 0.250
B2 B 0.750 0.750 0.750
Li1 Li 0.000 0.000 0.000
```



#x is favored, and the nearest alternative lies 375 meV per atom above it.



#w
Material: Li3BRh
Method: DFT, GGA-PBE
State: relaxed

**Symmetry**: Pm-3m, No. 221

Cell and atoms, written as CIF:
```
data_Li3BRh
_chemical_formula_sum 'Li3 B1 Rh1'
_cell_length_a 4.506
_cell_length_b 4.506
_cell_length_c 4.506
_cell_angle_alpha 90.00
_cell_angle_beta 90.00
_cell_angle_gamma 90.00
_symmetry_space_group_name_H-M 'P 1'
_symmetry_Int_Tables_number 1
_symmetry_space_group_name_Hall 'P 1'
loop_
_atom_site_label
_atom_site_type_symbol
_atom_site_fract_x
_atom_site_fract_y
_atom_site_fract_z
B1 B 0.500 0.500 0.500
Rh1 Rh 0.000 0.000 0.000
Li1 Li 0.000 0.500 0.000
Li2 Li 0.000 0.000 0.500
Li3 Li 0.500 0.000 0.000
```



#x
Material: Li3BRh
Method: DFT, GGA-PBE
State: relaxed

**Symmetry**: Pm-3m, No. 221

Cell and atoms, written as CIF:
```
data_Li3BRh
_chemical_formula_sum 'Li3 B1 Rh1'
_cell_length_a 4.031
_cell_length_b 4.031
_cell_length_c 4.031
_cell_angle_alpha 90.00
_cell_angle_beta 90.00
_cell_angle_gamma 90.00
_symmetry_space_group_name_H-M 'P 1'
_symmetry_Int_Tables_number 1
_symmetry_space_group_name_Hall 'P 1'
loop_
_atom_site_label
_atom_site_type_symbol
_atom_site_fract_x
_atom_site_fract_y
_atom_site_fract_z
B1 B 0.000 0.000 0.000
Rh1 Rh 0.500 0.500 0.500
Li1 Li 0.000 0.500 0.000
Li2 Li 0.000 0.000 0.500
Li3 Li 0.500 0.000 0.000
```



#x is favored, and the nearest alternative lies 443 meV per atom above it.